[1]
AlV4Ge | GGA-PBE | relaxed

Results
Magnetic moment, Bohr magnetons per cell: 0.00
Calculated volume, Å³ per atom: 16.92
N(E_F), states/eV/f.u.: 2.40
E_form, eV per atom: 0.38

a = 4.153 Å, b = 4.155 Å, c = 5.884 Å
α = 89.96°, β = 89.97°, γ = 90.00°
Element x y z (fractional)
Ge (0.001, 0.997, 0.498)
V (0.501, 0.997, 0.250)
V (0.501, 0.998, 0.746)
V (0.001, 0.497, 0.746)
V (0.001, 0.497, 0.250)
Al (0.501, 0.497, 0.998)

***

[2]
YOs2N | GGA-PBE | relaxed

Results
Uncorrected formation energy, eV/atom: 0.43
Magnetic moment, Bohr magnetons per cell: 0.00
Calculated volume, Å³ per atom: 19.19
N(E_F), states/eV/f.u.: 3.76

a = 4.855 Å, b = 4.855 Å, c = 7.361 Å
α = 70.75°, β = 70.75°, γ = 90.00°
Element x y z (fractional)
Os (0.375, 0.125, 0.250)
Os (0.375, 0.625, 0.750)
Os (0.375, 0.625, 0.250)
Os (0.875, 0.625, 0.750)
N (0.250, 0.750, 0.500)
N (0.500, 0.500, 0.000)
Y (0.000, 0.000, 0.000)
Y (0.750, 0.250, 0.500)

***

[3]
Ca3Mg2In | GGA-PBE | relaxed

Results
Magnetic moment, Bohr magnetons per cell: 0.00
Calculated volume, Å³ per atom: 29.99
N(E_F), states/eV/f.u.: 2.88
Energy above the lowest structure with this stoichiometry, eV/atom: 0.0000
E_form, eV per atom: -0.23

a = 4.067 Å, b = 5.436 Å, c = 8.580 Å
α = 108.47°, β = 90.00°, γ = 90.00°
Element x y z (fractional)
Mg (0.000, 0.669, 0.338)
Mg (0.000, 0.331, 0.662)
In (0.000, 0.000, 0.000)
Ca (0.500, 0.162, 0.324)
Ca (0.500, 0.500, 0.000)
Ca (0.500, 0.838, 0.676)